(1)
Below is AlBiNF2 at its PBEsol-relaxed geometry, with properties calculated at the SCAN level.

```
AlBiNF2
1.0
4.541 0.000 0.000
0.000 4.541 0.000
0.000 0.000 4.353
Al Bi N F
1 1 1 2
Direct
0.000 0.000 0.000 Al
0.500 0.500 0.500 Bi
0.500 0.500 0.000 N
0.000 0.500 0.500 F
0.500 0.000 0.500 F
```

Output
Its calculated density is 5.3 Mg/m³. The raw formation energy is -0.375 eV per atom.

***

(2)
Below is Al2FeBi at its PBEsol-relaxed geometry, with properties calculated at the SCAN level.

```
Al2FeBi
1.0
-2.188 2.188 8.505
2.188 -2.188 8.505
2.188 2.188 -8.505
Al Fe Bi
4 2 2
Direct
0.032 0.625 0.907 Al
0.375 0.282 0.407 Al
0.718 0.125 0.093 Al
0.875 0.968 0.593 Al
0.000 0.000 0.000 Fe
0.750 0.250 0.500 Fe
0.250 0.750 0.500 Bi
0.500 0.500 0.000 Bi
```

Output
Its calculated density is 6.5 Mg/m³. Its formation energy is 31 kJ per mole of atoms.

***

(3)
Below is Al3FeBi at its PBEsol-relaxed geometry, with properties calculated at the SCAN level.

```
Al3FeBi
1.0
4.599 0.000 0.000
0.000 4.599 0.000
0.000 0.000 4.599
Al Fe Bi
3 1 1
Direct
0.000 0.000 0.500 Al
0.000 0.500 0.000 Al
0.500 0.000 0.000 Al
0.000 0.000 0.000 Fe
0.500 0.500 0.500 Bi
```

Output
Its calculated density is 5.9 Mg/m³. Its formation energy is 25 kJ per mole of atoms.

***

(4)
Below is AlFe3Bi at its PBEsol-relaxed geometry, with properties calculated at the SCAN level.

```
AlFe3Bi
1.0
4.818 0.000 0.000
0.000 4.818 0.000
0.000 0.000 4.818
Al Fe Bi
1 3 1
Direct
0.000 0.000 0.000 Al
0.000 0.500 0.500 Fe
0.500 0.000 0.500 Fe
0.500 0.500 0.000 Fe
0.500 0.500 0.500 Bi
```

Output
Its calculated density is 6.0 Mg/m³. Its formation energy is 148 kJ per mole of atoms.

***

(5)
Below is AlFe2BiS at its PBEsol-relaxed geometry, with properties calculated at the SCAN level.

```
AlFe2BiS
1.0
4.914 0.000 0.000
0.000 4.914 0.000
0.000 0.000 5.399
Al Fe Bi S
1 2 1 1
Direct
0.000 0.000 0.000 Al
0.000 0.500 0.500 Fe
0.500 0.000 0.500 Fe
0.000 0.000 0.500 Bi
0.500 0.500 0.000 S
```

Output
Its calculated density is 4.8 Mg/m³. The raw formation energy is 1.277 eV per atom.

***

(6)
Below is AlGa2Bi at its PBEsol-relaxed geometry, with properties calculated at the SCAN level.

```
AlGa2Bi
1.0
0.000 3.504 3.504
3.504 0.000 3.504
3.504 3.504 0.000
Al Ga Bi
1 2 1
Direct
0.000 0.000 0.000 Al
0.250 0.250 0.250 Ga
0.750 0.750 0.750 Ga
0.500 0.500 0.500 Bi
```

Output
Its calculated density is 7.2 Mg/m³. Its formation energy is 28 kJ per mole of atoms.